Record 1
Computed, not measured: a relaxed BaNdPd crystal at the PBE level of DFT.

Computed properties:
formation energy from the elements = -1.1 eV per formula unit
total energy = -4.3398 eV/atom
DOS(E_F) = 2.4 states/eV/cell

Unit cell a=7.473 b=7.473 c=7.473 alpha=150.44 beta=150.44 gamma=42.30
Positions (direct):
1 Ba 0.000 0.000 0.000
2 Nd 0.258 0.258 0.000
3 Pd 0.662 0.662 0.000

***

Record 2
Computed, not measured: a relaxed SrLiTlZn crystal at the PBE level of DFT.

Computed properties:
formation energy from the elements = -0.8 eV per formula unit
total energy = -2.0123 eV/atom
DOS(E_F) = 1.5 states/eV/cell

Unit cell a=5.112 b=5.112 c=5.112 alpha=60.00 beta=60.00 gamma=60.00
Positions (direct):
1 Sr 0.000 0.000 0.000
2 Li 0.250 0.250 0.250
3 Tl 0.500 0.500 0.500
4 Zn 0.750 0.750 0.750

***

Record 3
Computed, not measured: a relaxed ScGa3Ir2 crystal at the PBE level of DFT.

Computed properties:
formation energy from the elements = -2.7 eV per formula unit
total energy = -5.9711 eV/atom
DOS(E_F) = 7.0 states/eV/cell

Unit cell a=5.763 b=5.763 c=6.707 alpha=90.00 beta=90.00 gamma=120.00
Positions (direct):
1 Sc 0.333 0.667 0.343
2 Sc 0.667 0.333 0.657
3 Ga 0.168 0.336 0.696
4 Ga 0.168 0.832 0.696
5 Ga 0.336 0.168 0.304
6 Ga 0.664 0.832 0.696
7 Ga 0.832 0.168 0.304
8 Ga 0.832 0.664 0.304
9 Ir 0.000 0.000 0.000
10 Ir 0.000 0.500 0.000
11 Ir 0.500 0.000 0.000
12 Ir 0.500 0.500 0.000

***

Record 4
Computed, not measured: a relaxed TaSiSb2 crystal at the PBE level of DFT.

Computed properties:
energy relative to the elements, uncorrected = 2.32 eV/f.u.
total energy = -5.8011 eV/atom
DOS(E_F) = 3.6 states/eV/cell

Unit cell a=3.506 b=4.563 c=5.267 alpha=90.00 beta=90.00 gamma=90.00
Positions (direct):
1 Ta 0.000 0.000 0.000
2 Si 0.500 0.000 0.500
3 Sb 0.000 0.500 0.500
4 Sb 0.500 0.500 0.000

***

Record 5
Computed, not measured: a relaxed SrRuCl crystal at the PBE level of DFT.

Computed properties:
relative energy among the computed polymorphs = 0.000 eV/atom
energy relative to the elements, uncorrected = -0.22 eV/f.u.
total energy = -4.3409 eV/atom
DOS(E_F) = 3.8 states/eV/cell

Unit cell a=4.262 b=4.262 c=4.146 alpha=90.00 beta=90.00 gamma=120.00
Positions (direct):
1 Sr 0.000 0.000 0.000
2 Ru 0.333 0.667 0.500
3 Cl 0.667 0.333 0.500

***

Record 6
Computed, not measured: a relaxed LiGdPt4 crystal at the PBE level of DFT.

Computed properties:
formation energy from the elements = -5.2 eV per formula unit
total energy = -7.5641 eV/atom
DOS(E_F) = 5.7 states/eV/cell

Unit cell a=5.365 b=5.365 c=5.365 alpha=60.00 beta=60.00 gamma=60.00
Positions (direct):
1 Li 0.000 0.000 0.000
2 Gd 0.250 0.250 0.250
3 Pt 0.124 0.625 0.625
4 Pt 0.625 0.124 0.625
5 Pt 0.625 0.625 0.124
6 Pt 0.625 0.625 0.625

***

Question: Number 2 is which compound?
Answer: SrLiTlZn

***

Copy entry 3 word for word.
Computed, not measured: a relaxed ScGa3Ir2 crystal at the PBE level of DFT.

Computed properties:
formation energy from the elements = -2.7 eV per formula unit
total energy = -5.9711 eV/atom
DOS(E_F) = 7.0 states/eV/cell

Unit cell a=5.763 b=5.763 c=6.707 alpha=90.00 beta=90.00 gamma=120.00
Positions (direct):
1 Sc 0.333 0.667 0.343
2 Sc 0.667 0.333 0.657
3 Ga 0.168 0.336 0.696
4 Ga 0.168 0.832 0.696
5 Ga 0.336 0.168 0.304
6 Ga 0.664 0.832 0.696
7 Ga 0.832 0.168 0.304
8 Ga 0.832 0.664 0.304
9 Ir 0.000 0.000 0.000
10 Ir 0.000 0.500 0.000
11 Ir 0.500 0.000 0.000
12 Ir 0.500 0.500 0.000

***

Question: Which value of total energy does entry 4 give?
Answer: -5.8011 eV/atom